This record from the Alexandria database describes Hf6FeOs2 after structural relaxation. The functional is PBE.

```
18
Lattice="-4.721 -0.230 2.708 0.157 -7.016 -0.323 4.483 -0.267 7.979" Properties=species:S:1:pos:R:3 pbc="T T T"
Fe 2.241 -0.133 3.989
Fe -2.282 -3.623 1.193
Hf -1.274 -6.044 1.053
Hf 0.274 -5.410 9.608
Hf 1.193 -1.469 9.311
Hf 0.406 -5.763 4.237
Hf -0.488 -1.750 6.127
Hf -1.880 -3.337 3.607
Hf 2.661 -0.621 6.368
Hf 1.343 -2.599 3.904
Hf -1.424 -4.913 6.460
Hf -0.355 -2.103 0.756
Hf -2.743 -6.891 3.996
Hf 1.798 -4.175 6.758
Os -0.643 -3.200 8.444
Os -0.570 -0.880 3.196
Os 0.561 -4.313 1.920
Os 0.488 -6.633 7.169
```

Computed properties:
DOS at the Fermi energy: 17.0 states/eV/cell
V: 19.46 A^3/atom
Energy relative to the elements: -0.195 eV/atom

This record from the Alexandria database describes HfFeOs after structural relaxation. The functional is PBE.

```
6
Lattice="3.216 0.000 0.000 0.000 4.387 0.000 -1.608 0.000 6.677" Properties=species:S:1:pos:R:3 pbc="T T T"
Os 0.000 3.290 5.512
Os 1.608 1.097 1.165
Hf 0.000 3.290 1.193
Hf 1.608 1.097 5.485
Fe 1.608 3.290 3.421
Fe 0.000 1.097 3.256
```

Computed properties:
DOS at the Fermi energy: 3.5 states/eV/cell
V: 15.70 A^3/atom
Energy relative to the elements: -0.256 eV/atom
Energy relative to the lowest polymorph listed for this composition: 135 meV per atom

This record from the Alexandria database describes HfFe2Os2 after structural relaxation. The functional is PBE.

```
5
Lattice="-2.676 -2.744 -0.787 1.934 -2.536 2.267 -3.156 -1.099 4.839" Properties=species:S:1:pos:R:3 pbc="T T T"
Os -1.004 -2.290 1.671
Os -2.894 -4.090 4.648
Hf 0.000 0.000 0.000
Fe -0.797 -3.138 3.923
Fe -3.102 -3.242 2.396
```

Computed properties:
DOS at the Fermi energy: 6.5 states/eV/cell
V: 15.89 A^3/atom
Energy relative to the elements: 0.114 eV/atom
Energy relative to the lowest polymorph listed for this composition: 113 meV per atom

This record from the Alexandria database describes HfFe2Os2 after structural relaxation. The functional is PBE.

```
10
Lattice="7.269 0.000 0.000 0.000 7.269 0.000 0.000 0.000 2.690" Properties=species:S:1:pos:R:3 pbc="T T T"
Hf 0.000 0.000 0.000
Hf 3.634 3.634 0.000
Os 4.548 0.914 0.000
Os 0.914 2.720 0.000
Os 6.355 4.548 0.000
Os 2.720 6.355 0.000
Fe 2.393 1.242 1.345
Fe 1.242 4.876 1.345
Fe 6.027 2.393 1.345
Fe 4.876 6.027 1.345
```

Computed properties:
DOS at the Fermi energy: 7.7 states/eV/cell
V: 14.21 A^3/atom
Energy relative to the elements: 0.066 eV/atom
Energy relative to the lowest polymorph listed for this composition: 66 meV per atom

This record from the Alexandria database describes HfFe2Os2 after structural relaxation. The functional is PBE.

```
10
Lattice="-1.670 -5.618 -4.161 4.722 -4.061 3.588 -1.951 -0.719 1.753" Properties=species:S:1:pos:R:3 pbc="T T T"
Os -0.819 -6.311 -1.390
Os 1.791 -7.502 1.026
Os 1.920 -4.086 2.570
Os -0.690 -2.895 0.155
Fe 3.525 -5.722 1.575
Fe 1.603 -2.215 0.875
Fe -0.473 -3.956 -2.148
Fe 1.449 -7.464 -1.448
Hf 1.526 -4.839 -0.286
Hf 0.000 0.000 0.000
```

Computed properties:
DOS at the Fermi energy: 16.4 states/eV/cell
V: 14.05 A^3/atom
Energy relative to the elements: 0.000 eV/atom
Energy relative to the lowest polymorph listed for this composition: 0 meV per atom

This record from the Alexandria database describes Hf3FeOs after structural relaxation. The functional is PBE.

```
5
Lattice="4.637 0.000 0.000 0.000 4.637 0.000 0.000 0.000 4.637" Properties=species:S:1:pos:R:3 pbc="T T T"
Hf 2.319 0.000 0.000
Hf 0.000 0.000 2.319
Hf 0.000 2.319 0.000
Os 2.319 2.319 2.319
Fe 0.000 0.000 0.000
```

Computed properties:
DOS at the Fermi energy: 5.7 states/eV/cell
V: 19.94 A^3/atom
Energy relative to the elements: 0.503 eV/atom
Energy relative to the lowest polymorph listed for this composition: 0 meV per atom

This record from the Alexandria database describes Hf2FeOs2 after structural relaxation. The functional is PBE.

```
10
Lattice="-3.178 -5.380 1.248 3.937 -1.197 4.865 -2.568 2.120 2.600" Properties=species:S:1:pos:R:3 pbc="T T T"
Os -1.484 -3.603 1.473
Os -0.222 -5.397 4.183
Os 0.980 -1.179 1.930
Os 2.242 -2.973 4.640
Hf -1.606 -0.885 2.568
Hf -0.204 -3.572 6.145
Hf 0.819 -0.710 4.821
Hf -2.629 -3.746 3.892
Fe 0.000 0.000 0.000
Fe 0.379 -3.288 3.057
```

Computed properties:
DOS at the Fermi energy: 12.6 states/eV/cell
V: 17.15 A^3/atom
Energy relative to the elements: -0.116 eV/atom

This record from the Alexandria database describes Hf4Fe3Os after structural relaxation. The functional is PBE.

```
8
Lattice="3.178 0.000 0.000 0.000 3.178 0.000 0.000 0.000 12.627" Properties=species:S:1:pos:R:3 pbc="T T T"
Hf 0.000 0.000 10.970
Hf 0.000 0.000 1.657
Hf 0.000 0.000 4.765
Hf 0.000 0.000 7.863
Fe 1.589 1.589 9.418
Fe 1.589 1.589 3.209
Fe 1.589 1.589 6.314
Os 1.589 1.589 0.000
```

Computed properties:
DOS at the Fermi energy: 3.6 states/eV/cell
V: 15.95 A^3/atom
Energy relative to the elements: -0.412 eV/atom

This record from the Alexandria database describes HfFeOs after structural relaxation. The functional is PBE.

```
6
Lattice="-2.049 3.230 3.107 2.673 1.561 4.048 1.730 4.793 0.065" Properties=species:S:1:pos:R:3 pbc="T T T"
Fe 0.000 0.000 0.000
Fe -1.024 1.615 1.553
Hf 2.507 4.380 2.961
Hf -0.152 5.204 4.259
Os -0.159 4.012 1.586
Os 0.312 2.395 3.577
```

Computed properties:
DOS at the Fermi energy: 6.1 states/eV/cell
V: 15.50 A^3/atom
Energy relative to the elements: -0.391 eV/atom
Energy relative to the lowest polymorph listed for this composition: 0 meV per atom

This record from the Alexandria database describes Hf6FeOs5 after structural relaxation. The functional is PBE.

```
12
Lattice="-0.440 -0.473 -4.543 5.943 -2.532 -0.312 -5.385 -4.792 3.339" Properties=species:S:1:pos:R:3 pbc="T T T"
Hf -0.488 -5.089 -1.741
Hf 1.246 -0.861 -2.348
Hf -3.480 -3.814 -1.583
Hf 0.605 -2.709 0.224
Hf 3.597 -3.983 0.066
Hf 4.257 -2.144 -2.507
Os 1.215 -5.464 0.451
Os 1.875 -3.598 -2.125
Os -1.757 -4.200 0.608
Os 2.972 -1.266 -0.156
Os -1.098 -2.333 -1.968
Fe 0.000 0.000 0.000
```

Computed properties:
DOS at the Fermi energy: 2.7 states/eV/cell
V: 17.03 A^3/atom
Energy relative to the elements: -0.640 eV/atom

This record from the Alexandria database describes Hf5Fe2Os after structural relaxation. The functional is PBE.

```
16
Lattice="-2.329 -5.277 -3.102 5.262 -3.422 1.871 -4.732 2.442 6.312" Properties=species:S:1:pos:R:3 pbc="T T T"
Hf -1.043 -3.395 4.086
Hf -1.173 -5.986 -0.289
Hf 1.789 -6.947 1.087
Hf 1.466 -4.350 -0.616
Hf 2.206 -3.822 2.372
Hf 0.000 0.000 0.000
Hf -0.627 -0.270 5.371
Hf -0.756 -2.861 0.996
Hf -3.589 0.690 3.994
Hf -4.005 -2.435 2.709
Fe -0.825 -3.646 -1.693
Fe 1.181 -6.773 -1.591
Fe 1.752 -1.926 0.360
Fe 3.758 -5.053 0.462
Os -1.633 -0.954 2.848
Os -0.166 -5.303 2.233
```

Computed properties:
DOS at the Fermi energy: 13.6 states/eV/cell
V: 18.33 A^3/atom
Energy relative to the elements: -0.291 eV/atom

This record from the Alexandria database describes Hf4FeOs3 after structural relaxation. The functional is PBE.

```
8
Lattice="-1.912 0.614 -2.535 -2.069 -2.270 1.011 -6.330 8.853 6.917" Properties=species:S:1:pos:R:3 pbc="T T T"
Fe -1.991 -0.828 -0.762
Hf -3.970 5.553 4.339
Hf -2.360 3.300 2.579
Hf -5.576 7.798 6.093
Hf -0.754 1.055 0.824
Os -5.156 3.598 2.697
Os -6.762 5.846 4.453
Os -3.549 1.351 0.941
```

Computed properties:
DOS at the Fermi energy: 1.4 states/eV/cell
V: 16.86 A^3/atom
Energy relative to the elements: -0.606 eV/atom

This record from the Alexandria database describes Hf6FeOs after structural relaxation. The functional is PBE.

```
8
Lattice="5.330 -0.902 0.490 1.764 5.341 1.331 2.648 2.884 6.091" Properties=species:S:1:pos:R:3 pbc="T T T"
Os 4.871 3.661 3.956
Hf 4.676 6.001 5.686
Hf 7.265 4.149 5.238
Hf 2.297 0.539 1.201
Hf 7.445 6.783 6.711
Hf 5.066 1.322 2.225
Hf 2.477 3.174 2.674
Fe 0.000 0.000 0.000
```

Computed properties:
DOS at the Fermi energy: 7.5 states/eV/cell
V: 19.38 A^3/atom
Energy relative to the elements: -0.061 eV/atom

This record from the Alexandria database describes Hf5FeOs4 after structural relaxation. The functional is PBE.

```
10
Lattice="-1.312 2.959 -0.118 -1.992 -0.786 2.429 10.931 5.271 10.668" Properties=species:S:1:pos:R:3 pbc="T T T"
Hf 3.814 3.722 6.490
Hf 6.031 4.791 8.653
Hf 8.241 5.856 10.810
Hf 1.597 2.653 4.327
Hf -0.613 1.587 2.170
Os 2.145 1.034 2.093
Os 8.786 4.237 8.575
Os 6.572 3.169 6.414
Os 4.359 2.102 4.254
Fe 0.000 0.000 0.000
```

Computed properties:
DOS at the Fermi energy: 1.7 states/eV/cell
V: 16.94 A^3/atom
Energy relative to the elements: -0.626 eV/atom

This record from the Alexandria database describes HfFeSiOs after structural relaxation. The functional is PBE.

```
4
Lattice="4.307 0.000 0.000 2.153 3.730 0.000 2.153 1.243 3.516" Properties=species:S:1:pos:R:3 pbc="T T T"
Si 4.307 2.486 1.758
Fe 6.460 3.730 2.637
Os 2.153 1.243 0.879
Hf 0.000 0.000 0.000
```

Computed properties:
Formation energy (no corrections): -469 meV per atom
V: 14.12 A^3/atom

This record from the Alexandria database describes HfTiFeOs after structural relaxation. The functional is PBE.

```
4
Lattice="3.126 0.000 0.000 0.000 3.126 0.000 0.000 0.000 6.222" Properties=species:S:1:pos:R:3 pbc="T T T"
Ti 0.000 0.000 5.374
Hf 0.000 0.000 2.164
Fe 1.563 1.563 0.596
Os 1.563 1.563 3.861
```

Computed properties:
DOS at the Fermi energy: 1.5 states/eV/cell
V: 15.20 A^3/atom
Energy relative to the elements: -0.501 eV/atom

This record from the Alexandria database describes HfTlFeOs2 after structural relaxation. The functional is PBE.

```
5
Lattice="4.873 0.000 0.000 0.000 5.077 0.000 0.000 0.000 4.873" Properties=species:S:1:pos:R:3 pbc="T T T"
Os 0.000 0.000 2.436
Os 2.436 0.000 0.000
Hf 0.000 2.538 0.000
Tl 0.000 0.000 0.000
Fe 2.436 2.538 2.436
```

Computed properties:
DOS at the Fermi energy: 8.7 states/eV/cell
V: 24.11 A^3/atom
Energy relative to the elements: 3.004 eV/atom

This record from the Alexandria database describes TmHfFeOs after structural relaxation. The functional is PBE.

```
4
Lattice="4.608 0.000 0.000 2.304 3.991 0.000 2.304 1.330 3.763" Properties=species:S:1:pos:R:3 pbc="T T T"
Hf 4.608 2.661 1.881
Tm 0.000 0.000 0.000
Fe 2.304 1.330 0.941
Os 6.912 3.991 2.822
```

Computed properties:
DOS at the Fermi energy: 3.1 states/eV/cell
V: 17.30 A^3/atom
Energy relative to the elements: -0.261 eV/atom

This record from the Alexandria database describes Hf2FeOsW after structural relaxation. The functional is PBE.

```
5
Lattice="4.679 0.000 0.000 0.000 4.327 0.000 0.000 0.000 4.679" Properties=species:S:1:pos:R:3 pbc="T T T"
Os 0.000 2.164 0.000
Fe 0.000 0.000 0.000
Hf 0.000 0.000 2.339
Hf 2.339 0.000 0.000
W 2.339 2.164 2.339
```

Computed properties:
DOS at the Fermi energy: 5.3 states/eV/cell
V: 18.94 A^3/atom
Energy relative to the elements: 0.871 eV/atom

This record from the Alexandria database describes HfZrFeOs2 after structural relaxation. The functional is PBE.

```
5
Lattice="4.743 0.000 0.000 0.000 4.743 0.000 0.000 0.000 4.934" Properties=species:S:1:pos:R:3 pbc="T T T"
Os 0.000 2.372 0.000
Os 2.372 0.000 0.000
Zr 0.000 0.000 0.000
Hf 0.000 0.000 2.467
Fe 2.372 2.372 2.467
```

Computed properties:
DOS at the Fermi energy: 11.0 states/eV/cell
V: 22.20 A^3/atom
Energy relative to the elements: 2.403 eV/atom